Tl3ZnO | PBE-GGA | optimized geometry

Cell lengths 5.147, 5.147, 5.147 Å; angles 90.00, 90.00, 90.00 degrees
Positions (direct):
Tl 0.000 0.000 0.500
Tl 0.000 0.500 0.000
Tl 0.500 0.000 0.000
Zn 0.500 0.500 0.500
O 0.000 0.000 0.000

Output
The calculation puts the energy above the most stable polymorph in this dataset at 0 meV per atom. For the calculated total energy, the calculation gives -13.4 eV/cell. Its formation energy from raw total energies is -0.019 eV per atom. As for the space group: Pm-3m. As for the crystal system: cubic. The value obtained for the total magnetization is 0.00 μB per formula unit. The value obtained for the density of states at the Fermi level is 2.300 states/eV/f.u.